(1)
# Ho3Er2Mg2

A relaxed Ho3Er2Mg2 crystal (PBE, Alexandria).

a = 5.2163 Å, b = 22.7570 Å, c = 3.4420 Å
α = 90.00°, β = 90.00°, γ = 90.00°
With the nearest neighbours (Å) after each atom.
Space group Cmmm (No. 65)
One atom of each set of equivalent atoms:
Ho 0.0000 0.0000 0.0000 [2 per cell]  4 Ho 3.42-3.44, 8 Mg 3.50
Ho 0.0000 0.1504 0.0000 [4 per cell]  6 Er 3.42-3.58, 3 Ho 3.42-3.44, 4 Mg 3.63
Er 0.0000 0.2884 0.5000 [4 per cell]  4 Er 3.14-3.44, 1 Mg 3.25, 4 Ho 3.42
Mg 0.0000 0.4311 0.5000 [4 per cell]  3 Mg 3.13-3.44, 1 Er 3.25, 4 Ho 3.50

Results
Formation energy, meV per atom: 38
Total magnetic moment, Bohr magnetons per cell: 0.0
Electronic total energy, eV per atom: -3.68
D(E_F), states/eV/cell: 13.49


(2)
# ScPd9Au2

A relaxed ScPd9Au2 crystal (PBE, Alexandria).

a = 4.0010 Å, b = 4.0010 Å, c = 12.0332 Å
α = 90.00°, β = 90.00°, γ = 90.00°
With the nearest neighbours (Å) after each atom.
Space group P4/mmm (No. 123)
One atom of each set of equivalent atoms:
Sc 0.0000 0.0000 0.0000 [1 per cell]  12 Pd 2.82-2.83
Pd 0.0000 0.5000 0.1648 [4 per cell]  8 Pd 2.82-2.83, 2 Sc 2.82, 2 Au 2.86
Pd 0.0000 0.5000 0.5000 [2 per cell]  4 Au 2.82, 8 Pd 2.83-2.85
Pd 0.5000 0.5000 0.0000 [1 per cell]  8 Pd 2.82, 4 Sc 2.83
Pd 0.5000 0.5000 0.3317 [2 per cell]  4 Au 2.83, 8 Pd 2.83-2.85
Au 0.0000 0.0000 0.3344 [2 per cell]  12 Pd 2.82-2.86

Results
Formation energy, meV per atom: -319
Total magnetic moment, Bohr magnetons per cell: 0.0
Electronic total energy, eV per atom: -5.29
D(E_F), states/eV/cell: 13.72


(3)
# YTiGa3

A relaxed YTiGa3 crystal (PBE, Alexandria).

a = 4.0881 Å, b = 4.0881 Å, c = 12.1319 Å
α = 90.00°, β = 90.00°, γ = 90.00°
With the nearest neighbours (Å) after each atom.
Space group I4mm (No. 107)
One atom of each set of equivalent atoms:
Y 0.0000 0.0000 0.0000 [2 per cell]  8 Ga 2.98-3.27
Ti 0.0000 0.0000 0.6517 [2 per cell]  5 Ga 2.55-2.64
Ga 0.0000 0.0000 0.4416 [2 per cell]  1 Ti 2.55, 4 Ga 2.75
Ga 0.0000 0.5000 0.2894 [4 per cell]  2 Ti 2.64, 6 Ga 2.75-2.89

Results
Formation energy, meV per atom: -299
Total magnetic moment, Bohr magnetons per cell: 0.0
Electronic total energy, eV per atom: -4.99
Relative energy among the computed polymorphs, meV/atom: 0
D(E_F), states/eV/cell: 6.33


(4)
# Ho4ErIn2

A relaxed Ho4ErIn2 crystal (PBE, Alexandria).

a = 5.2033 Å, b = 5.2033 Å, c = 29.2272 Å
α = 90.00°, β = 90.00°, γ = 120.00°
With the nearest neighbours (Å) after each atom.
Space group R-3m (No. 166, hexagonal axes)
One atom of each set of equivalent atoms:
Ho 0.0000 0.0000 0.1177 [6 per cell]  3 Er 3.33, 3 In 3.38, 3 Ho 3.70
Ho 0.0000 0.0000 0.2896 [6 per cell]  4 In 3.06-3.16
Er 0.0000 0.0000 0.5000 [3 per cell]  2 In 2.99, 6 Ho 3.33
In 0.0000 0.0000 0.3978 [6 per cell]  1 Er 2.99, 4 Ho 3.06-3.16

Results
Formation energy, meV per atom: 64
Total magnetic moment, Bohr magnetons per cell: 0.0
Electronic total energy, eV per atom: -3.99
Relative energy among the computed polymorphs, meV/atom: 171
D(E_F), states/eV/cell: 22.41


(5)
# La3RuO7

A relaxed La3RuO7 crystal (PBE, Alexandria).

a = 11.1979 Å, b = 7.5263 Å, c = 7.7001 Å
α = 90.00°, β = 90.00°, γ = 90.00°
With the nearest neighbours (Å) after each atom.
Space group Cmcm (No. 63)
One atom of each set of equivalent atoms:
La 0.0000 0.0000 0.0000 [4 per cell]  4 O 2.43
La 0.2208 0.3117 0.2500 [8 per cell]  7 O 2.34-2.60
Ru 0.0000 0.5000 0.0000 [4 per cell]  6 O 1.99-2.02
O 0.0000 0.4207 0.2500 [4 per cell]  2 Ru 2.02
O 0.1245 0.3166 0.5398 [16 per cell]  1 Ru 1.99
O 0.1305 0.0299 0.2500 [8 per cell]  4 La 2.34-2.43

Results
Total magnetic moment, Bohr magnetons per cell: 12.0
Electronic total energy, eV per atom: -8.05
Relative energy among the computed polymorphs, meV/atom: 0
D(E_F), states/eV/cell: 0.74
Formation energy from raw total energies, eV per atom: -2.71


(6)
# Ti3HgMo2

A relaxed Ti3HgMo2 crystal (PBE, Alexandria).

a = 3.2400 Å, b = 3.2400 Å, c = 9.6673 Å
α = 90.00°, β = 90.00°, γ = 90.00°
With the nearest neighbours (Å) after each atom.
Space group P4/mmm (No. 123)
One atom of each set of equivalent atoms:
Ti 0.0000 0.0000 0.0000 [1 per cell]  8 Mo 2.79, 2 Ti 2.95
Ti 0.0000 0.0000 0.3048 [2 per cell]  4 Mo 2.67, 1 Ti 2.95, 4 Hg 2.97
Hg 0.5000 0.5000 0.5000 [1 per cell]  8 Ti 2.97, 4 Hg 3.24, 2 Mo 3.25
Mo 0.5000 0.5000 0.1639 [2 per cell]  8 Ti 2.67-2.79

Results
Formation energy, meV per atom: -129
Total magnetic moment, Bohr magnetons per cell: 0.0
Electronic total energy, eV per atom: -7.74
D(E_F), states/eV/cell: 5.67


(7)
# Tb5Pr2SmEr

A relaxed Tb5Pr2SmEr crystal (PBE, Alexandria).

a = 8.6941 Å, b = 8.6941 Å, c = 15.8315 Å
α = 90.00°, β = 90.00°, γ = 90.00°
With the nearest neighbours (Å) after each atom.
Space group I4/mcm (No. 140)
One atom of each set of equivalent atoms:
Tb 0.0000 0.0000 0.0000 [4 per cell]  4 Pr 3.47, 8 Tb 3.82
Tb 0.2126 0.2874 0.1404 [16 per cell]  1 Pr 3.04, 1 Er 3.14
Pr 0.1185 0.3815 0.5000 [8 per cell]  1 Pr 2.92, 2 Tb 3.04
Sm 0.0000 0.0000 0.2500 [4 per cell]  10 Tb 3.56-3.96
Er 0.0000 0.5000 0.2500 [4 per cell]  4 Tb 3.14

Results
Formation energy, meV per atom: 269
Total magnetic moment, Bohr magnetons per cell: 0.0
Electronic total energy, eV per atom: -4.40
D(E_F), states/eV/cell: 46.85


(8)
# SrCdSi2Pt5

A relaxed SrCdSi2Pt5 crystal (PBE, Alexandria).

a = 4.1141 Å, b = 4.1141 Å, c = 10.9625 Å
α = 90.00°, β = 90.00°, γ = 90.00°
With the nearest neighbours (Å) after each atom.
Space group P4/mmm (No. 123)
One atom of each set of equivalent atoms:
Sr 0.0000 0.0000 0.0000 [1 per cell]  4 Pt 2.91
Cd 0.0000 0.0000 0.5000 [1 per cell]  8 Pt 2.84
Si 0.5000 0.5000 0.2148 [2 per cell]  5 Pt 2.36-2.37
Pt 0.0000 0.5000 0.3214 [4 per cell]  2 Si 2.37
Pt 0.5000 0.5000 0.0000 [1 per cell]  2 Si 2.36

Results
Total magnetic moment, Bohr magnetons per cell: 0.0
Electronic total energy, eV per atom: -5.48
D(E_F), states/eV/cell: 3.05
Formation energy from raw total energies, eV per atom: -0.63


(9)
# AcInCuAu

A relaxed AcInCuAu crystal (PBE, Alexandria).

a = 7.2886 Å, b = 7.2886 Å, c = 7.2886 Å
α = 90.00°, β = 90.00°, γ = 90.00°
With the nearest neighbours (Å) after each atom.
Space group F-43m (No. 216)
One atom of each set of equivalent atoms:
Ac 0.0000 0.0000 0.0000 [4 per cell]  4 Cu 3.16, 4 Au 3.16
In 0.0000 0.0000 0.5000 [4 per cell]  4 Cu 3.16, 4 Au 3.16
Cu 0.2500 0.2500 0.2500 [4 per cell]  4 Ac 3.16, 4 In 3.16
Au 0.2500 0.2500 0.7500 [4 per cell]  4 Ac 3.16, 4 In 3.16

Results
Formation energy, meV per atom: -386
Total magnetic moment, Bohr magnetons per cell: 0.0
Electronic total energy, eV per atom: -3.94
D(E_F), states/eV/cell: 17.19


The lowest D(E_F) belongs to which entry?
La3RuO7


Which value of total magnetic moment does entry 7 give?
0.0 Bohr magnetons per cell


The highest electronic total energy belongs to which entry?
Ho3Er2Mg2